[1]
Here is an optimized crystal structure of ScSi2Pd7 from the Alexandria database. Energies are from PBE.

a b c (Å): 4.381 6.852 6.852
angles (deg): 115.26 90.00 90.00
Sites, in units of the cell vectors:
Sc  0.000  0.000  0.000
Si  0.500  0.699  0.301
Si  0.500  0.301  0.699
Pd  0.000  0.765  0.235
Pd  0.000  0.235  0.765
Pd  0.500  0.065  0.315
Pd  0.500  0.935  0.685
Pd  0.500  0.315  0.065
Pd  0.500  0.685  0.935
Pd  0.500  0.500  0.500

## Properties
Energy relative to the lowest polymorph listed for this composition   348.2 meV/atom
Calculated volume   186.0 Å³/f.u.
Spin magnetization   0.0 μB per formula unit
ρ   7.6 g/cm³
Formation energy from raw total energies   -0.405 eV per atom

=====

[2]
Here is an optimized crystal structure of CaHf2TiNb from the Alexandria database. Energies are from PBE.

a b c (Å): 5.034 5.367 5.034
angles (deg): 90.00 90.00 90.00
Sites, in units of the cell vectors:
Nb  0.000  0.000  0.000
Hf  0.000  0.000  0.500
Hf  0.500  0.000  0.000
Ca  0.000  0.500  0.000
Ti  0.500  0.500  0.500

## Properties
ΔH_f (0 K)   1.22 eV per atom
Calculated volume   136.0 Å³/f.u.
Spin magnetization   0.0 μB per formula unit
ρ   6.6 g/cm³